1.
The following is a DFT calculation (GGA-PBEsol) of a geometry-optimized Rb2VP2O8 structure.

Properties
The value obtained for the magnetization is 1.00 μB/f.u. The crystal system is orthorhombic. The polymorph energy (0 for the lowest one) comes out at 0 meV/atom.

abc: 7.061 9.080 12.959
angles: 90.00 90.00 90.00
Positions (direct):
Rb 0.226 0.170 0.410
Rb 0.228 0.609 0.591
Rb 0.272 0.391 0.091
Rb 0.274 0.830 0.910
Rb 0.726 0.330 0.590
Rb 0.728 0.891 0.409
Rb 0.772 0.109 0.909
Rb 0.774 0.670 0.090
V 0.247 0.241 0.808
V 0.253 0.759 0.308
V 0.747 0.259 0.192
V 0.753 0.741 0.692
P 0.004 0.028 0.652
P 0.088 0.012 0.163
P 0.412 0.988 0.663
P 0.496 0.972 0.152
P 0.504 0.472 0.348
P 0.588 0.488 0.837
P 0.912 0.512 0.337
P 0.996 0.528 0.848
O 0.011 0.661 0.320
O 0.029 0.922 0.072
O 0.054 0.171 0.713
O 0.058 0.562 0.956
O 0.093 0.927 0.267
O 0.136 0.438 0.782
O 0.174 0.197 0.921
O 0.194 0.928 0.648
O 0.306 0.072 0.148
O 0.326 0.803 0.421
O 0.364 0.562 0.282
O 0.407 0.073 0.767
O 0.442 0.438 0.456
O 0.446 0.829 0.213
O 0.471 0.078 0.572
O 0.489 0.339 0.820
O 0.511 0.839 0.680
O 0.529 0.578 0.928
O 0.554 0.329 0.287
O 0.558 0.938 0.044
O 0.593 0.573 0.733
O 0.636 0.062 0.218
O 0.674 0.303 0.079
O 0.694 0.572 0.352
O 0.806 0.428 0.852
O 0.826 0.697 0.579
O 0.864 0.938 0.718
O 0.907 0.427 0.233
O 0.942 0.062 0.544
O 0.946 0.671 0.787
O 0.971 0.422 0.428
O 0.989 0.161 0.180


2.
The following is a DFT calculation (GGA-PBEsol) of a geometry-optimized RbP2WO8 structure.

Properties
The value obtained for the magnetization is 1.00 μB/f.u. The crystal system is monoclinic. The electronic total energy is -377.6 eV per cell.

abc: 5.116 12.000 12.799
angles: 90.00 113.10 90.00
Positions (direct):
Rb 0.199 0.125 0.459
Rb 0.199 0.375 0.959
Rb 0.801 0.625 0.041
Rb 0.801 0.875 0.541
P 0.103 0.703 0.837
P 0.103 0.797 0.337
P 0.114 0.069 0.873
P 0.114 0.431 0.373
P 0.886 0.569 0.627
P 0.886 0.931 0.127
P 0.897 0.203 0.663
P 0.897 0.297 0.163
W 0.416 0.110 0.172
W 0.416 0.390 0.672
W 0.584 0.610 0.328
W 0.584 0.890 0.828
O 0.066 0.204 0.135
O 0.066 0.296 0.635
O 0.077 0.180 0.798
O 0.077 0.320 0.298
O 0.139 0.599 0.905
O 0.139 0.901 0.405
O 0.187 0.533 0.644
O 0.187 0.967 0.144
O 0.255 0.519 0.327
O 0.255 0.981 0.827
O 0.288 0.109 0.992
O 0.288 0.391 0.492
O 0.390 0.749 0.843
O 0.390 0.751 0.343
O 0.477 0.611 0.183
O 0.477 0.889 0.683
O 0.523 0.111 0.317
O 0.523 0.389 0.817
O 0.610 0.249 0.657
O 0.610 0.251 0.157
O 0.712 0.609 0.508
O 0.712 0.891 0.008
O 0.745 0.019 0.173
O 0.745 0.481 0.673
O 0.813 0.033 0.856
O 0.813 0.467 0.356
O 0.861 0.099 0.595
O 0.861 0.401 0.095
O 0.923 0.680 0.702
O 0.923 0.820 0.202
O 0.934 0.704 0.365
O 0.934 0.796 0.865


3.
The following is a DFT calculation (GGA-PBEsol) of a geometry-optimized RbP2WO structure.

Properties
The value obtained for the magnetization is 0.00 μB/f.u. The crystal system is tetragonal. The electronic total energy is -33.7 eV per cell.

abc: 4.874 4.874 3.916
angles: 90.00 90.00 90.00
Positions (direct):
Rb 0.000 0.000 0.000
P 0.000 0.500 0.500
P 0.500 0.000 0.500
W 0.500 0.500 0.500
O 0.500 0.500 0.000